Ac6TeSe3S2, optimized geometry, DFT PBE; raw formation energy = -1.828 eV per atom; magnetic moment = 0.000 μB/cell; N(E_F) = 0.512 states/eV/atom; calculated volume = 31.38 A^3/atom; space-group type = C2/m; total energy = -0.2096 hartree per atom
1.0
3.8625 -6.7087 0.0000
3.8625 6.7087 0.0000
-2.6051 0.0000 7.2661
Ac Te Se S
6 1 3 2
Cartesian
-0.0907 2.3608 5.4660
1.1410 0.0000 1.7709
-0.0907 -2.3608 5.4660
5.2106 2.3608 1.8001
3.9789 0.0000 5.4952
5.2106 -2.3608 1.8001
3.8625 0.0000 0.0000
-1.3026 0.0000 3.6331
2.5600 2.1288 3.6331
2.5600 -2.1288 3.6331
3.8625 4.4629 0.0000
3.8625 -4.4629 0.0000



Ac4Te2SeS, optimized geometry, DFT PBE; raw formation energy = -1.713 eV per atom; magnetic moment = 0.000 μB/cell; N(E_F) = 0.365 states/eV/atom; calculated volume = 33.64 A^3/atom; space-group type = P2/m; total energy = -0.2023 hartree per atom
1.0
7.8578 0.0000 0.0000
0.0000 4.5136 0.0000
-2.5961 0.0000 7.5873
Ac Te Se S
4 2 1 1
Cartesian
1.2538 0.0000 1.6377
-0.0476 2.2568 5.9198
5.3092 2.2568 1.6675
4.0079 0.0000 5.9496
-1.2981 0.0000 3.7936
2.6308 2.2568 3.7936
3.9289 0.0000 0.0000
0.0000 2.2568 0.0000



Ac8Te4Se3S, optimized geometry, DFT PBE; raw formation energy = -1.697 eV per atom; magnetic moment = 0.000 μB/cell; N(E_F) = 0.346 states/eV/atom; calculated volume = 34.07 A^3/atom; space-group type = R-3m; total energy = -0.2002 hartree per atom
1.0
4.5562 2.6305 7.5800
-4.5562 2.6305 7.5800
0.0000 -5.2610 7.5800
Ac Te Se S
8 4 3 1
Cartesian
0.0000 0.0000 5.4935
-2.2140 -1.2783 13.0359
0.0000 -2.5565 9.7040
-2.2140 1.2783 9.7040
2.2140 -1.2783 13.0359
0.0000 2.5565 13.0359
2.2140 1.2783 9.7040
0.0000 0.0000 17.2465
0.0000 0.0000 0.0000
-2.2781 -1.3153 7.5800
-2.2781 1.3153 15.1600
0.0000 2.6305 7.5800
-4.5562 0.0000 11.3700
-2.2781 1.3153 3.7900
2.2781 1.3153 3.7900
0.0000 0.0000 11.3700



AcTiSeS2, optimized geometry, DFT PBE; raw formation energy = -1.618 eV per atom; magnetic moment = 0.612 μB/cell; N(E_F) = 0.348 states/eV/atom; calculated volume = 24.07 A^3/atom; space-group type = P4mm; total energy = -0.2340 hartree per atom
1.0
4.7742 0.0000 0.0000
0.0000 4.7742 0.0000
0.0000 0.0000 5.2795
Ac Ti Se S
1 1 1 2
Cartesian
0.0000 0.0000 0.0000
2.3871 2.3871 1.9055
2.3871 2.3871 4.5311
0.0000 2.3871 1.8695
2.3871 0.0000 1.8695



Ac4TlSe2S, optimized geometry, DFT PBE; raw formation energy = -1.472 eV per atom; magnetic moment = 0.000 μB/cell; N(E_F) = 0.456 states/eV/atom; calculated volume = 33.12 A^3/atom; space-group type = P2/m; total energy = -0.1914 hartree per atom
1.0
7.8739 0.0000 0.0000
0.0000 4.4878 0.0000
-2.6050 0.0000 7.4979
Ac Tl Se S
4 1 2 1
Cartesian
1.2439 0.0000 1.8359
-0.0464 2.2439 5.5780
5.3153 2.2439 1.9199
4.0249 0.0000 5.6620
2.6344 2.2439 3.7490
0.0000 2.2439 0.0000
3.9369 0.0000 0.0000
-1.3025 0.0000 3.7490



Ac4TlSeS2, optimized geometry, DFT PBE; raw formation energy = -1.503 eV per atom; magnetic moment = 0.000 μB/cell; N(E_F) = 0.518 states/eV/atom; calculated volume = 32.08 A^3/atom; space-group type = P2/m; total energy = -0.1955 hartree per atom
1.0
7.8162 0.0000 0.0000
0.0000 4.4286 0.0000
-2.5598 0.0000 7.4149
Ac Tl Se S
4 1 1 2
Cartesian
1.1951 0.0000 1.7482
-0.0726 2.2143 5.5485
5.3290 2.2143 1.8664
4.0613 0.0000 5.6666
2.6282 2.2143 3.7074
3.9081 0.0000 0.0000
-1.2799 0.0000 3.7074
0.0000 2.2143 0.0000